Entry 1:
A plane-wave DFT calculation with GGA-PBE was carried out for a geometry-optimized Ca3VW structure. Values from VASP.

**ΔE_f**: 1508 meV/atom

```
&SYSTEM
  ibrav = 0, nat = 5, ntyp = 3
/
ATOMIC_SPECIES
Ca 40.08 Ca.upf
W 183.84 W.upf
V 50.94 V.upf
CELL_PARAMETERS angstrom
-3.9199 -3.7868 -0.9543
3.0616 -2.1407 -4.0817
2.4242 -3.4196 3.6118
ATOMIC_POSITIONS crystal
Ca 0.0000 0.5000 0.0000
Ca 0.0000 0.0000 0.5000
Ca 0.5000 0.0000 0.0000
W 0.0000 0.0000 0.0000
V 0.5000 0.5000 0.5000
```


Entry 2:
A plane-wave DFT calculation with GGA-PBE was carried out for a geometry-optimized Co3TcB structure. Values from VASP.

**ΔE_f**: 213 meV/atom

```
&SYSTEM
  ibrav = 0, nat = 5, ntyp = 3
/
ATOMIC_SPECIES
B 10.81 B.upf
Co 58.93 Co.upf
Tc 98.00 Tc.upf
CELL_PARAMETERS angstrom
-0.1911 0.6852 3.7429
-0.3283 -3.7366 0.6673
3.7909 -0.2891 0.2465
ATOMIC_POSITIONS crystal
B 0.0000 0.0000 0.0000
Co 0.0000 0.5000 0.0000
Co 0.0000 0.0000 0.5000
Co 0.5000 0.0000 0.0000
Tc 0.5000 0.5000 0.5000
```


Entry 3:
A plane-wave DFT calculation with GGA-PBE was carried out for a geometry-optimized Ac2PdC structure. Values from VASP.

**ΔE_f**: 180 meV/atom

```
&SYSTEM
  ibrav = 0, nat = 4, ntyp = 3
/
ATOMIC_SPECIES
Ac 227.00 Ac.upf
C 12.01 C.upf
Pd 106.42 Pd.upf
CELL_PARAMETERS angstrom
-1.7451 0.5060 3.3833
1.7565 -1.0649 3.2448
3.6123 7.7980 2.8764
ATOMIC_POSITIONS crystal
Ac 0.1080 0.1080 0.6760
Ac 0.8920 0.8920 0.3240
C 0.5000 0.5000 0.5000
Pd 0.0000 0.0000 0.0000
```


Entry 4:
A plane-wave DFT calculation with GGA-PBE was carried out for a geometry-optimized BaSrZn3 structure. Values from VASP.

**ΔE_f**: 460 meV/atom

```
&SYSTEM
  ibrav = 0, nat = 5, ntyp = 3
/
ATOMIC_SPECIES
Sr 87.62 Sr.upf
Zn 65.41 Zn.upf
Ba 137.33 Ba.upf
CELL_PARAMETERS angstrom
5.8626 0.0000 0.0000
0.0000 5.8626 0.0000
0.0000 0.0000 5.8626
ATOMIC_POSITIONS crystal
Sr 0.5000 0.5000 0.5000
Zn 0.0000 0.5000 0.0000
Zn 0.0000 0.0000 0.5000
Zn 0.5000 0.0000 0.0000
Ba 0.0000 0.0000 0.0000
```


Entry 5:
A plane-wave DFT calculation with GGA-PBE was carried out for a geometry-optimized LaPmIr structure. Values from VASP.

**ΔE_f**: -589 meV/atom

```
&SYSTEM
  ibrav = 0, nat = 12, ntyp = 3
/
ATOMIC_SPECIES
La 138.91 La.upf
Pm 145.00 Pm.upf
Ir 192.22 Ir.upf
CELL_PARAMETERS angstrom
-4.1374 1.3382 0.8257
-1.5285 -6.6265 3.0802
3.2098 3.8419 9.8579
ATOMIC_POSITIONS crystal
La 0.7500 0.3760 0.8699
La 0.2500 0.8760 0.6301
La 0.2500 0.6240 0.1301
La 0.7500 0.1240 0.3699
Pm 0.7500 0.6106 0.3870
Pm 0.2500 0.1106 0.1130
Pm 0.2500 0.3894 0.6130
Pm 0.7500 0.8894 0.8870
Ir 0.7500 0.8652 0.1572
Ir 0.2500 0.3652 0.3428
Ir 0.2500 0.1348 0.8428
Ir 0.7500 0.6348 0.6572
```


Entry 6:
A plane-wave DFT calculation with GGA-PBE was carried out for a geometry-optimized GaMo2W structure. Values from VASP.

**ΔE_f**: 813 meV/atom

```
&SYSTEM
  ibrav = 0, nat = 8, ntyp = 3
/
ATOMIC_SPECIES
Mo 95.94 Mo.upf
Ga 69.72 Ga.upf
W 183.84 W.upf
CELL_PARAMETERS angstrom
7.1665 0.0000 0.0000
0.0000 7.1665 0.0000
3.5833 3.5833 2.7035
ATOMIC_POSITIONS crystal
Mo 0.6425 0.1250 0.2500
Mo 0.1075 0.6250 0.2500
Mo 0.3750 0.3575 0.7500
Mo 0.8750 0.8925 0.7500
Ga 0.5000 0.5000 0.0000
Ga 0.2500 0.7500 0.5000
W 0.0000 0.0000 0.0000
W 0.7500 0.2500 0.5000
```


Entry 7:
A plane-wave DFT calculation with GGA-PBE was carried out for a geometry-optimized AcNiH structure. Values from VASP.

```
&SYSTEM
  ibrav = 0, nat = 12, ntyp = 3
/
ATOMIC_SPECIES
Ac 227.00 Ac.upf
Ni 58.69 Ni.upf
H 1.01 H.upf
CELL_PARAMETERS angstrom
-1.6575 -3.7840 -2.8699
2.1276 1.1916 -2.7999
8.4970 -6.5158 3.6838
ATOMIC_POSITIONS crystal
Ac 0.7500 0.5000 0.1324
Ac 0.7500 0.0000 0.6324
Ac 0.2500 0.5000 0.8676
Ac 0.2500 0.0000 0.3676
Ni 0.7500 0.4997 0.4179
Ni 0.7500 0.0003 0.9179
Ni 0.2500 0.9997 0.0821
Ni 0.2500 0.5003 0.5821
H 0.7500 0.0008 0.3990
H 0.7500 0.4992 0.8990
H 0.2500 0.5008 0.1010
H 0.2500 0.9992 0.6010
```


Entry 8:
A plane-wave DFT calculation with GGA-PBE was carried out for a geometry-optimized CdHgP2 structure. Values from VASP.

**ΔE_f**: 79 meV/atom

```
&SYSTEM
  ibrav = 0, nat = 4, ntyp = 3
/
ATOMIC_SPECIES
Cd 112.41 Cd.upf
Hg 200.59 Hg.upf
P 30.97 P.upf
CELL_PARAMETERS angstrom
4.3368 -0.0051 -0.0310
3.0893 3.0437 -0.0310
1.3598 0.5564 6.8460
ATOMIC_POSITIONS crystal
Cd 0.4592 0.4592 0.5333
Hg 0.2807 0.2807 0.2288
P 0.0853 0.0853 0.9710
P 0.6748 0.6748 0.7669
```


Entry 9:
A plane-wave DFT calculation with GGA-PBE was carried out for a geometry-optimized Si2SbRu structure. Values from VASP.

**Formation energy (no corrections)**: 0.332 eV per atom

```
&SYSTEM
  ibrav = 0, nat = 4, ntyp = 3
/
ATOMIC_SPECIES
Ru 101.07 Ru.upf
Sb 121.76 Sb.upf
Si 28.09 Si.upf
CELL_PARAMETERS angstrom
-3.0524 -1.5879 -3.5522
-3.5592 -2.4256 2.4301
1.8703 4.5750 -0.1670
ATOMIC_POSITIONS crystal
Ru 0.5366 0.5366 0.0000
Sb 0.2436 0.7436 0.5000
Si 0.9744 0.9744 0.0000
Si 0.7454 0.2454 0.5000
```


Entry 10:
A plane-wave DFT calculation with GGA-PBE was carried out for a geometry-optimized LaTlSb2 structure. Values from VASP.

**Formation energy (no corrections)**: -0.425 eV per atom

```
&SYSTEM
  ibrav = 0, nat = 4, ntyp = 3
/
ATOMIC_SPECIES
La 138.91 La.upf
Sb 121.76 Sb.upf
Tl 204.38 Tl.upf
CELL_PARAMETERS angstrom
3.6031 0.0000 0.0000
0.0000 3.6031 0.0000
0.0000 0.0000 9.6447
ATOMIC_POSITIONS crystal
La 0.5000 0.5000 0.7500
Sb 0.0000 0.0000 0.9859
Sb 0.0000 0.0000 0.5141
Tl 0.5000 0.5000 0.2500
```


Entry 11:
A plane-wave DFT calculation with GGA-PBE was carried out for a geometry-optimized KScN2 structure. Values from VASP.

**Formation energy (no corrections)**: -0.050 eV per atom

```
&SYSTEM
  ibrav = 0, nat = 8, ntyp = 3
/
ATOMIC_SPECIES
Sc 44.96 Sc.upf
K 39.10 K.upf
N 14.01 N.upf
CELL_PARAMETERS angstrom
-4.7370 -1.7607 -0.2854
1.2269 -3.8043 3.1053
-3.3869 0.7931 6.4350
ATOMIC_POSITIONS crystal
Sc 0.0000 0.0000 0.0000
Sc 0.7500 0.2500 0.5000
K 0.5000 0.5000 0.0000
K 0.2500 0.7500 0.5000
N 0.8069 0.1250 0.2500
N 0.9431 0.6250 0.2500
N 0.3750 0.1931 0.7500
N 0.8750 0.0569 0.7500
```


Number 1: E -20.54 eV/f.u., mass density 3.480 g/cm³, volume 169 Å³ per cell. Number 2: E -37.30 eV/f.u., mass density 8.576 g/cm³, volume 55 Å³ per cell. Number 3: E -21.91 eV/f.u., mass density 8.469 g/cm³, volume 112 Å³ per cell. Number 4: E -5.12 eV/f.u., mass density 3.471 g/cm³, volume 201 Å³ per cell. Number 5: E -20.31 eV/f.u., mass density 8.656 g/cm³, volume 365 Å³ per cell. Number 6: E -34.39 eV/f.u., mass density 10.654 g/cm³, volume 139 Å³ per cell. Number 7: E -14.09 eV/f.u., mass density 9.004 g/cm³, volume 211 Å³ per cell. Number 8: E -11.72 eV/f.u., mass density 6.870 g/cm³, volume 91 Å³ per cell. Number 9: E -22.92 eV/f.u., mass density 6.798 g/cm³, volume 68 Å³ per cell. Number 10: E -17.24 eV/f.u., mass density 7.782 g/cm³, volume 125 Å³ per cell. Number 11: E -24.28 eV/f.u., mass density 2.277 g/cm³, volume 163 Å³ per cell.